No. 1
The following is a DFT calculation (SCAN) of CoNiHg2 at its PBEsol-relaxed geometry.

The distance to the lowest polymorph of the same formula comes out at 0.000 eV per atom. The calculation puts the formation energy at 0.36 eV/atom. As for the density of states at the Fermi level: 1.519 states/eV/cell. The total energy comes out at -42.090 eV per atom.

Cell and atoms, written as CIF:
```
data_CoNiHg2
_symmetry_space_group_name_H-M 'P 1 m 1'
_symmetry_Int_Tables_number 6
_symmetry_space_group_name_Hall 'P -2y'
_cell_length_a 2.9053
_cell_length_b 4.1855
_cell_length_c 5.2137
_cell_angle_alpha 90.00
_cell_angle_beta 104.83
_cell_angle_gamma 90.00
loop_
_atom_site_label
_atom_site_type_symbol
_atom_site_fract_x
_atom_site_fract_y
_atom_site_fract_z
Co1 Co 0.0000 0.0000 0.0000
Ni1 Ni 0.8755 0.5000 0.7310
Hg1 Hg 0.2888 0.0000 0.5481
Hg2 Hg 0.5866 0.5000 0.1819
```

No. 2
The following is a DFT calculation (SCAN) of Au2IF at its PBEsol-relaxed geometry.

As for the density of states at the Fermi level: 4.449 states/eV/cell. The uncorrected formation energy is -0.107 eV/atom. The total energy comes out at -44.756 eV per atom.

Cell and atoms, written as CIF:
```
data_Au2IF
_symmetry_space_group_name_H-M 'I -4 2 d'
_symmetry_Int_Tables_number 122
_symmetry_space_group_name_Hall 'I -4 2bw'
_cell_length_a 4.6390
_cell_length_b 4.6390
_cell_length_c 15.7931
_cell_angle_alpha 90.00
_cell_angle_beta 90.00
_cell_angle_gamma 90.00
loop_
_atom_site_label
_atom_site_type_symbol
_atom_site_fract_x
_atom_site_fract_y
_atom_site_fract_z
Au1 Au 0.1783 0.2500 0.1250
I1 I 0.0000 0.0000 0.5000
F1 F 0.0000 0.0000 0.0000
```

The highest total energy belongs to which entry?
CoNiHg2